Record 1
Density functional theory data (PBE) for a relaxed Ho12In6Ag crystal.

a = 13.4483 Å, b = 13.4483 Å, c = 12.1915 Å
α = 90.00°, β = 90.00°, γ = 120.00°
Last column: nearest neighbours and their distance in Å.
Space group R-3 (No. 148, hexagonal axes)
Inequivalent atoms, fractional coordinates:
Ho: 0.0367 0.8259 0.3922 [18 per cell]  4 In 3.04-3.18
Ho: 0.0524 0.8439 0.8886 [18 per cell]  1 Ag 2.87, 2 In 3.06-3.09
In: 0.0499 0.7813 0.6466 [18 per cell]  7 Ho 3.04-3.29
Ag: 0.0000 0.0000 0.0000 [3 per cell]  6 Ho 2.87

Properties
Spin magnetization = 0.0 μB per cell
Energy = -3.90 eV/atom

Record 2
Density functional theory data (PBE) for a relaxed Ho5InAg4 crystal.

a = 3.5971 Å, b = 3.5971 Å, c = 18.7351 Å
α = 90.00°, β = 90.00°, γ = 90.00°
Last column: nearest neighbours and their distance in Å.
Space group P4/mmm (No. 123)
Inequivalent atoms, fractional coordinates:
Ho: 0.0000 0.0000 0.0000 [1 per cell]  8 Ag 3.13
Ho: 0.0000 0.0000 0.1958 [2 per cell]  8 Ag 3.14
Ho: 0.0000 0.0000 0.3911 [2 per cell]  4 Ag 3.13, 4 In 3.26
In: 0.5000 0.5000 0.5000 [1 per cell]  8 Ho 3.26, 4 In 3.60
Ag: 0.5000 0.5000 0.0974 [2 per cell]  8 Ho 3.13-3.14
Ag: 0.5000 0.5000 0.2941 [2 per cell]  8 Ho 3.13-3.14

Properties
Spin magnetization = 0.0 μB per cell
Energy = -4.06 eV/atom

Record 3
Density functional theory data (PBE) for a relaxed Ho4In3Ag crystal.

a = 3.5539 Å, b = 3.5539 Å, c = 16.2134 Å
α = 90.00°, β = 90.00°, γ = 90.00°
Last column: nearest neighbours and their distance in Å.
Space group P4/mmm (No. 123)
Inequivalent atoms, fractional coordinates:
Ho: 0.0000 0.0000 0.1139 [2 per cell]  4 Ag 3.12, 4 In 3.25
Ho: 0.0000 0.0000 0.3707 [2 per cell]  8 In 3.27-3.28, 4 Ho 3.55
In: 0.5000 0.5000 0.2411 [2 per cell]  8 Ho 3.25-3.28, 4 In 3.55
In: 0.5000 0.5000 0.5000 [1 per cell]  8 Ho 3.27, 4 In 3.55
Ag: 0.5000 0.5000 0.0000 [1 per cell]  8 Ho 3.12

Properties
Spin magnetization = 0.0 μB per cell
Energy = -4.10 eV/atom

Record 4
Density functional theory data (PBE) for a relaxed Ho4InAg3 crystal.

a = 3.6715 Å, b = 4.8227 Å, c = 11.3484 Å
α = 90.00°, β = 90.00°, γ = 90.00°
Last column: nearest neighbours and their distance in Å.
Space group Pmm2 (No. 25)
Inequivalent atoms, fractional coordinates:
Ho: 0.0000 0.0000 0.0000 [1 per cell]  6 Ag 3.07-3.12, 1 In 3.20
Ho: 0.0000 0.5000 0.2815 [1 per cell]  7 Ag 3.08-3.14
Ho: 0.5000 0.0000 0.4814 [1 per cell]  5 Ag 3.00-3.15, 2 In 3.25
Ho: 0.5000 0.5000 0.7964 [1 per cell]  3 Ag 3.03-3.27, 4 In 3.16
In: 0.0000 0.0000 0.7180 [1 per cell]  2 Ag 3.02, 7 Ho 3.16-3.25
Ag: 0.0000 0.5000 0.5579 [1 per cell]  2 In 3.02, 7 Ho 3.14-3.27
Ag: 0.5000 0.0000 0.2174 [1 per cell]  2 Ag 2.98, 7 Ho 3.00-3.12
Ag: 0.5000 0.5000 0.0638 [1 per cell]  2 Ag 2.98, 7 Ho 3.03-3.12

Properties
Spin magnetization = 0.0 μB per cell
Energy = -4.01 eV/atom

Record 5
Density functional theory data (PBE) for a relaxed Ho4In2Ag crystal.

a = 7.0043 Å, b = 6.6359 Å, c = 8.9679 Å
α = 90.00°, β = 109.28°, γ = 90.00°
Last column: nearest neighbours and their distance in Å.
Space group P2_1/m (No. 11)
Inequivalent atoms, fractional coordinates:
Ho: 0.0857 0.2500 0.0474 [2 per cell]  1 Ag 2.91
Ho: 0.1721 0.0085 0.7222 [4 per cell]  1 Ag 2.91, 2 In 3.12-3.14, 1 Ho 3.21
Ho: 0.3201 0.7500 0.3504 [2 per cell]  1 Ag 3.16, 4 In 3.19-3.53
In: 0.2151 0.2500 0.4334 [2 per cell]  1 Ag 2.75
In: 0.4334 0.7500 0.0325 [2 per cell]  1 Ag 2.99, 5 Ho 3.20-3.32
Ag: 0.4927 0.2500 0.2773 [2 per cell]  2 In 2.75-2.99, 3 Ho 2.91

Properties
Spin magnetization = 0.0 μB per cell
Energy = -4.01 eV/atom

Record 6
Density functional theory data (PBE) for a relaxed HoInAgIr crystal.

a = 6.8127 Å, b = 6.8127 Å, c = 6.8127 Å
α = 90.00°, β = 90.00°, γ = 90.00°
Last column: nearest neighbours and their distance in Å.
Space group F-43m (No. 216)
Inequivalent atoms, fractional coordinates:
Ho: 0.0000 0.0000 0.0000 [4 per cell]  4 Ir 2.95, 4 Ag 2.95
In: 0.0000 0.0000 0.5000 [4 per cell]  4 Ag 2.95, 4 Ir 2.95
Ag: 0.2500 0.2500 0.7500 [4 per cell]  4 In 2.95, 4 Ho 2.95
Ir: 0.2500 0.2500 0.2500 [4 per cell]  4 In 2.95, 4 Ho 2.95

Properties
Spin magnetization = 0.0 μB per cell
Energy = -5.16 eV/atom

Question: Which of these has the lowest energy?
Answer: HoInAgIr

What did the third record say?
Density functional theory data (PBE) for a relaxed Ho4In3Ag crystal.

a = 3.5539 Å, b = 3.5539 Å, c = 16.2134 Å
α = 90.00°, β = 90.00°, γ = 90.00°
Last column: nearest neighbours and their distance in Å.
Space group P4/mmm (No. 123)
Inequivalent atoms, fractional coordinates:
Ho: 0.0000 0.0000 0.1139 [2 per cell]  4 Ag 3.12, 4 In 3.25
Ho: 0.0000 0.0000 0.3707 [2 per cell]  8 In 3.27-3.28, 4 Ho 3.55
In: 0.5000 0.5000 0.2411 [2 per cell]  8 Ho 3.25-3.28, 4 In 3.55
In: 0.5000 0.5000 0.5000 [1 per cell]  8 Ho 3.27, 4 In 3.55
Ag: 0.5000 0.5000 0.0000 [1 per cell]  8 Ho 3.12

Properties
Spin magnetization = 0.0 μB per cell
Energy = -4.10 eV/atom